DFT (PBE-GGA) results for an optimized crystal structure of CsScClF3.

Cell: 6.996 18.377 5.425 Å, 90.00 124.26 90.00°
Space group C2/c (No. 15)
Inequivalent atoms, fractional coordinates:
Cs (0.000, 0.087, 0.250) [4 per cell]
Sc (0.000, 0.296, 0.750) [4 per cell]
Cl (0.000, 0.329, 0.250) [4 per cell]
F (0.000, 0.401, 0.750) [4 per cell]
F (0.146, 0.202, 0.036) [8 per cell]

Output
- DOS at the Fermi energy (states/eV/atom) = 0.000
- ρ (g/cm3) = 3.1
- total magnetic moment (μB/cell) = 0.0
- formation energy without anion corrections (eV per atom) = -3.121
- total DFT energy (no corrections) (eV per atom) = -5.562